[1]
A plane-wave DFT calculation with GGA-PBE was carried out for an optimized crystal structure of Ac2Ag3Sn4Pt.

Computed properties:
* magnetic moment: 0.00 μB/cell
* DFT formation energy: -0.52 eV per atom

Lattice parameters (Å, degrees): 4.756 4.756 11.322 90.00 90.00 90.00
Sites, in units of the cell vectors:
Sn: 0.500 0.000 0.622
Sn: 0.000 0.000 0.000
Sn: 0.000 0.500 0.378
Sn: 0.500 0.500 0.000
Ag: 0.000 0.500 0.139
Ag: 0.000 0.000 0.500
Ag: 0.500 0.000 0.861
Pt: 0.500 0.500 0.500
Ac: 0.500 0.000 0.266
Ac: 0.000 0.500 0.734



[2]
A plane-wave DFT calculation with GGA-PBE was carried out for an optimized crystal structure of Fe2PbS2.

Computed properties:
* magnetic moment: 12.89 μB/cell
* ΔE to the lowest computed polymorph: 0.4761 eV per atom
* formation energy without anion corrections: 212 meV per atom

Lattice parameters (Å, degrees): 7.646 7.646 3.185 90.00 90.00 90.00
Sites, in units of the cell vectors:
Pb: 0.000 0.000 0.000
Pb: 0.500 0.500 0.000
S: 0.143 0.357 0.000
S: 0.643 0.143 0.000
S: 0.857 0.643 0.000
S: 0.357 0.857 0.000
Fe: 0.608 0.892 0.500
Fe: 0.392 0.108 0.500
Fe: 0.108 0.608 0.500
Fe: 0.892 0.392 0.500



[3]
A plane-wave DFT calculation with GGA-PBE was carried out for an optimized crystal structure of VSnRu.

Computed properties:
* magnetic moment: 0.00 μB/cell
* DFT formation energy: -0.22 eV per atom

Lattice parameters (Å, degrees): 3.064 3.064 11.044 97.97 97.97 90.00
Sites, in units of the cell vectors:
Sn: 0.433 0.433 0.866
Sn: 0.567 0.567 0.134
V: 0.716 0.716 0.431
V: 0.284 0.284 0.569
Ru: 0.851 0.851 0.702
Ru: 0.149 0.149 0.298



[4]
A plane-wave DFT calculation with GGA-PBE was carried out for an optimized crystal structure of ZrSbS3.

Computed properties:
* magnetic moment: 0.00 μB/cell
* ΔE to the lowest computed polymorph: 0.0000 eV per atom
* formation energy without anion corrections: -792 meV per atom

Lattice parameters (Å, degrees): 3.640 6.746 10.453 90.00 100.03 90.00
Sites, in units of the cell vectors:
S: 0.246 0.179 0.492
S: 0.098 0.843 0.196
S: 0.902 0.343 0.804
S: 0.585 0.285 0.170
S: 0.415 0.785 0.830
S: 0.754 0.679 0.508
Sb: 0.854 0.987 0.709
Sb: 0.146 0.487 0.291
Zr: 0.670 0.999 0.339
Zr: 0.330 0.499 0.661



[5]
A plane-wave DFT calculation with GGA-PBE was carried out for an optimized crystal structure of Er4Te2Ru.

Computed properties:
* magnetic moment: 0.00 μB/cell
* formation energy without anion corrections: -858 meV per atom

Lattice parameters (Å, degrees): 4.213 7.789 12.290 90.00 90.00 90.00
Sites, in units of the cell vectors:
Er: 0.000 0.871 0.304
Er: 0.000 0.129 0.696
Er: 0.000 0.371 0.196
Er: 0.500 0.706 0.055
Er: 0.500 0.206 0.445
Er: 0.500 0.794 0.555
Er: 0.500 0.294 0.945
Er: 0.000 0.629 0.804
Te: 0.500 0.426 0.667
Te: 0.500 0.926 0.833
Te: 0.500 0.074 0.167
Te: 0.500 0.574 0.333
Ru: 0.000 0.000 0.500
Ru: 0.000 0.500 0.000



[6]
A plane-wave DFT calculation with GGA-PBE was carried out for an optimized crystal structure of RbZrS2Br.

Computed properties:
* magnetic moment: 0.00 μB/cell
* formation energy without anion corrections: -1382 meV per atom

Lattice parameters (Å, degrees): 5.039 5.039 5.567 90.00 90.00 90.00
Sites, in units of the cell vectors:
S: 0.000 0.500 0.000
S: 0.500 0.000 0.000
Zr: 0.000 0.000 0.000
Br: 0.000 0.000 0.500
Rb: 0.500 0.500 0.500



[7]
A plane-wave DFT calculation with GGA-PBE was carried out for an optimized crystal structure of BeTl2SiAg.

Computed properties:
* magnetic moment: 0.00 μB/cell
* formation energy without anion corrections: 685 meV per atom

Lattice parameters (Å, degrees): 4.940 4.650 4.940 90.00 90.00 90.00
Sites, in units of the cell vectors:
Tl: 0.000 0.000 0.500
Tl: 0.500 0.000 0.000
Ag: 0.000 0.500 0.000
Be: 0.000 0.000 0.000
Si: 0.500 0.500 0.500



[8]
A plane-wave DFT calculation with GGA-PBE was carried out for an optimized crystal structure of Re2CN.

Computed properties:
* magnetic moment: 0.00 μB/cell
* ΔE to the lowest computed polymorph: 0.0000 eV per atom
* formation energy without anion corrections: 588 meV per atom

Lattice parameters (Å, degrees): 4.642 4.642 5.666 65.82 65.82 90.00
Sites, in units of the cell vectors:
C: 0.250 0.750 0.500
C: 0.500 0.500 0.000
Re: 0.875 0.879 0.750
Re: 0.375 0.371 0.750
Re: 0.629 0.125 0.250
Re: 0.121 0.625 0.250
N: 0.000 0.000 0.000
N: 0.750 0.250 0.500



[9]
A plane-wave DFT calculation with GGA-PBE was carried out for an optimized crystal structure of KAlIr2.

Computed properties:
* magnetic moment: 0.96 μB/cell
* DFT formation energy: 0.76 eV per atom

Lattice parameters (Å, degrees): 4.628 4.628 4.627 120.03 120.03 89.94
Sites, in units of the cell vectors:
Al: 0.750 0.250 0.500
K: 0.500 0.500 0.000
Ir: 0.000 0.000 0.000
Ir: 0.250 0.750 0.500



[10]
A plane-wave DFT calculation with GGA-PBE was carried out for an optimized crystal structure of TaReAs2.

Computed properties:
* magnetic moment: 0.00 μB/cell
* ΔE to the lowest computed polymorph: 0.2660 eV per atom
* DFT formation energy: 0.17 eV per atom

Lattice parameters (Å, degrees): 4.350 4.350 5.352 78.49 78.49 41.21
Sites, in units of the cell vectors:
Re: 0.750 0.750 0.750
Ta: 0.250 0.250 0.250
As: 0.004 0.004 0.985
As: 0.496 0.496 0.515



[11]
A plane-wave DFT calculation with GGA-PBE was carried out for an optimized crystal structure of CePaSeS.

Computed properties:
* magnetic moment: 2.99 μB/cell
* ΔE to the lowest computed polymorph: 0.2904 eV per atom
* formation energy without anion corrections: -1274 meV per atom

Lattice parameters (Å, degrees): 4.981 4.981 4.981 60.00 60.00 60.00
Sites, in units of the cell vectors:
Se: 0.500 0.500 0.500
S: 0.000 0.000 0.000
Ce: 0.750 0.750 0.750
Pa: 0.250 0.250 0.250



[12]
A plane-wave DFT calculation with GGA-PBE was carried out for an optimized crystal structure of PmNd10Tm6.

Computed properties:
* magnetic moment: 0.00 μB/cell
* DFT formation energy: 0.13 eV per atom

Lattice parameters (Å, degrees): 6.901 9.829 9.829 120.00 90.00 90.00
Sites, in units of the cell vectors:
Tm: 0.315 0.632 0.632
Tm: 0.685 0.368 0.368
Tm: 0.685 0.632 0.000
Tm: 0.315 0.368 0.000
Tm: 0.315 0.000 0.368
Tm: 0.685 0.000 0.632
Nd: 0.000 0.667 0.333
Nd: 0.500 0.667 0.333
Nd: 0.000 0.333 0.667
Nd: 0.180 0.722 0.000
Nd: 0.180 0.278 0.278
Nd: 0.820 0.278 0.000
Nd: 0.500 0.333 0.667
Nd: 0.820 0.722 0.722
Nd: 0.180 0.000 0.722
Nd: 0.820 0.000 0.278
Pm: 0.500 0.000 0.000



[13]
A plane-wave DFT calculation with GGA-PBE was carried out for an optimized crystal structure of Tb2Th4Pb3N2.

Computed properties:
* magnetic moment: 0.00 μB/cell
* formation energy without anion corrections: -742 meV per atom

Lattice parameters (Å, degrees): 4.822 4.822 13.583 100.22 100.22 90.00
Sites, in units of the cell vectors:
N: 0.394 0.394 0.788
N: 0.606 0.606 0.212
Pb: 0.000 0.000 0.000
Pb: 0.818 0.818 0.637
Pb: 0.182 0.182 0.363
Tb: 0.305 0.305 0.609
Tb: 0.695 0.695 0.391
Th: 0.914 0.414 0.829
Th: 0.414 0.914 0.829
Th: 0.086 0.586 0.171
Th: 0.586 0.086 0.171



[14]
A plane-wave DFT calculation with GGA-PBE was carried out for an optimized crystal structure of SrNbH2W.

Computed properties:
* magnetic moment: 0.00 μB/cell
* E_tot: -4.368 eV per atom

Lattice parameters (Å, degrees): 3.901 5.592 3.901 90.00 90.00 90.00
Sites, in units of the cell vectors:
Sr: 0.000 0.500 0.000
H: 0.500 0.000 0.000
H: 0.000 0.000 0.500
W: 0.500 0.500 0.500
Nb: 0.000 0.000 0.000



[15]
A plane-wave DFT calculation with GGA-PBE was carried out for an optimized crystal structure of Pr8Bi2Rh3.

Computed properties:
* magnetic moment: 0.00 μB/cell
* DFT formation energy: -0.52 eV per atom

Lattice parameters (Å, degrees): 7.093 8.217 9.278 116.28 103.84 90.00
Sites, in units of the cell vectors:
Pr: 0.603 0.139 0.793
Pr: 0.885 0.592 0.184
Pr: 0.397 0.346 0.207
Pr: 0.397 0.861 0.207
Pr: 0.099 0.899 0.799
Pr: 0.603 0.654 0.793
Pr: 0.901 0.101 0.201
Pr: 0.115 0.408 0.816
Rh: 0.000 0.750 0.000
Rh: 0.500 0.000 0.000
Rh: 0.000 0.250 0.000
Bi: 0.668 0.745 0.489
Bi: 0.332 0.255 0.511



[16]
A plane-wave DFT calculation with GGA-PBE was carried out for an optimized crystal structure of La5Sm2Er3.

Computed properties:
* magnetic moment: 0.00 μB/cell
* DFT formation energy: 0.16 eV per atom

Lattice parameters (Å, degrees): 10.226 10.192 9.239 108.49 108.65 115.06
Sites, in units of the cell vectors:
La: 0.879 0.630 0.760
La: 0.619 0.870 0.240
La: 0.018 0.268 0.536
La: 0.226 0.476 0.953
La: 0.381 0.130 0.760
La: 0.121 0.370 0.240
La: 0.774 0.524 0.047
La: 0.477 0.227 0.454
La: 0.982 0.732 0.464
La: 0.523 0.773 0.546
Er: 0.525 0.467 0.248
Er: 0.730 0.980 0.961
Er: 0.223 0.780 0.248
Er: 0.270 0.020 0.039
Er: 0.777 0.220 0.752
Er: 0.475 0.533 0.752
Sm: 0.973 0.034 0.759
Sm: 0.714 0.276 0.241
Sm: 0.286 0.724 0.759
Sm: 0.027 0.966 0.241



[17]
A plane-wave DFT calculation with GGA-PBE was carried out for an optimized crystal structure of KVSe2.

Computed properties:
* magnetic moment: 0.97 μB/cell
* formation energy without anion corrections: -916 meV per atom

Lattice parameters (Å, degrees): 5.745 7.032 7.287 112.28 66.79 89.10
Sites, in units of the cell vectors:
Se: 0.614 0.676 0.992
Se: 0.909 0.238 0.416
Se: 0.204 0.258 0.827
Se: 0.319 0.656 0.581
V: 0.014 0.457 0.704
V: 0.509 0.457 0.704
K: 0.949 0.724 0.320
K: 0.574 0.191 0.088



[18]
A plane-wave DFT calculation with GGA-PBE was carried out for an optimized crystal structure of BaNaPd.

Computed properties:
* magnetic moment: 0.00 μB/cell
* ΔE to the lowest computed polymorph: 0.1202 eV per atom
* DFT formation energy: -0.22 eV per atom

Lattice parameters (Å, degrees): 4.786 4.798 10.787 103.06 90.00 119.91
Sites, in units of the cell vectors:
Na: 0.351 0.703 0.052
Na: 0.649 0.297 0.948
Pd: 0.954 0.907 0.865
Pd: 0.046 0.093 0.135
Ba: 0.228 0.456 0.690
Ba: 0.772 0.544 0.310



[19]
A plane-wave DFT calculation with GGA-PBE was carried out for an optimized crystal structure of Rb2Hg5Au2.

Computed properties:
* magnetic moment: 0.00 μB/cell
* ΔE to the lowest computed polymorph: 0.0000 eV per atom
* DFT formation energy: -0.17 eV per atom

Lattice parameters (Å, degrees): 8.462 7.160 11.573 108.02 111.44 90.00
Sites, in units of the cell vectors:
Hg: 0.768 0.273 0.042
Hg: 0.272 0.348 0.721
Hg: 0.051 0.127 0.279
Hg: 0.001 0.978 0.500
Hg: 0.226 0.731 0.958
Hg: 0.999 0.478 0.500
Hg: 0.232 0.231 0.958
Hg: 0.949 0.848 0.721
Hg: 0.774 0.773 0.042
Hg: 0.728 0.627 0.279
Rb: 0.448 0.863 0.728
Rb: 0.220 0.635 0.272
Rb: 0.780 0.363 0.728
Rb: 0.552 0.135 0.272
Au: 0.000 0.007 0.000
Au: 0.646 0.875 0.500
Au: 0.354 0.375 0.500
Au: 0.500 0.507 0.000



[20]
A plane-wave DFT calculation with GGA-PBE was carried out for an optimized crystal structure of Cs2NpCdO6.

Computed properties:
* magnetic moment: 0.00 μB/cell
* formation energy without anion corrections: -1844 meV per atom

Lattice parameters (Å, degrees): 6.253 6.253 6.257 60.06 60.07 90.10
Sites, in units of the cell vectors:
Cs: 0.250 0.750 0.500
Cs: 0.750 0.250 0.500
O: 0.273 0.273 0.454
O: 0.728 0.272 0.000
O: 0.727 0.727 0.546
O: 0.728 0.728 0.000
O: 0.272 0.728 0.000
O: 0.272 0.272 0.000
Cd: 0.000 0.000 0.000
Np: 0.500 0.500 0.000